Record 1
{
  "formula": "AlSiBr2",
  "functional": "PBE-GGA",
  "state": "relaxed",
  "cell": [[1.7682, 1.0209, 9.3348], [-1.7682, 1.0209, 9.3348], [0.0000, -2.0417, 9.3348]],
  "species": ["Al", "Si", "Br", "Br"],
  "frac_coords": [[0.0000, 0.0000, 0.0000], [0.5000, 0.5000, 0.5000], [0.4073, 0.4073, 0.4073], [0.5927, 0.5927, 0.5927]],
  "e_form_raw_ev_per_atom": 0.177,
  "magnetic_moment_mub_per_cell": 0.00,
  "e_above_lowest_polymorph_kj_per_mol_fu": 198,
  "mass_density_kg_m3": 3529
}

=====

Record 2
{
  "formula": "NaTbEr2Se4",
  "functional": "PBE-GGA",
  "state": "relaxed",
  "cell": [[7.0956, 0.0000, 0.0000], [0.0000, 4.0503, 0.0000], [-2.3019, 0.0000, 6.7180]],
  "species": ["Na", "Tb", "Er", "Er", "Se", "Se", "Se", "Se"],
  "frac_coords": [[0.0000, 0.0000, 0.0000], [0.5000, 0.5000, 0.0000], [0.0000, 0.5000, 0.5000], [0.5000, 0.0000, 0.5000], [0.2474, 0.0000, 0.7455], [0.2541, 0.5000, 0.2577], [0.7459, 0.5000, 0.7423], [0.7526, 0.0000, 0.2545]],
  "e_form_raw_ev_per_atom": -1.717,
  "magnetic_moment_mub_per_cell": 0.00,
  "mass_density_kg_m3": 7158
}

=====

Record 3
{
  "formula": "TaCd2Mo",
  "functional": "PBE-GGA",
  "state": "relaxed",
  "cell": [[-3.8427, 3.8427, 2.7216], [3.8427, -3.8427, 2.7216], [3.8427, 3.8427, -2.7216]],
  "species": ["Ta", "Ta", "Cd", "Cd", "Cd", "Cd", "Mo", "Mo"],
  "frac_coords": [[0.0000, 0.0000, 0.0000], [0.7500, 0.2500, 0.5000], [0.1314, 0.6250, 0.0064], [0.3750, 0.3814, 0.5064], [0.6186, 0.1250, 0.9936], [0.8750, 0.8686, 0.4936], [0.2500, 0.7500, 0.5000], [0.5000, 0.5000, 0.0000]],
  "magnetic_moment_mub_per_cell": 0.00,
  "e_above_lowest_polymorph_kj_per_mol_fu": 307,
  "mass_density_kg_m3": 10365,
  "formation_enthalpy_0k_mev_per_atom": 976
}

=====

| no. | total DFT energy (no corrections) (eV for the cell shown) |
| --- | --- |
| 1 | -11.804 |
| 2 | -42.753 |
| 3 | -41.223 |